1.
Density functional theory data (PBE) for crystalline MnV3Se at its relaxed geometry.

Calculated values
Total energy   -36.496 eV/cell
Magnetization   1.82 μB/cell
Uncorrected formation energy   0.703 eV/atom

Lattice parameters (Å, degrees): 4.3528 4.3528 4.3528 90.00 90.00 90.00
Last column: nearest neighbours and their distance in Å.
Element x y z (fractional)
Mn 0.0000 0.0000 0.0000  6 V 2.18
Se 0.5000 0.5000 0.5000  12 V 3.08
V 0.0000 0.5000 0.0000  2 Mn 2.18
V 0.0000 0.0000 0.5000  2 Mn 2.18
V 0.5000 0.0000 0.0000  2 Mn 2.18

***

2.
Density functional theory data (PBE) for crystalline MnV2Se6 at its relaxed geometry.

Calculated values
Total energy   -104.842 eV/cell
Magnetization   3.50 μB/cell
Uncorrected formation energy   -0.456 eV/atom

Lattice parameters (Å, degrees): 5.9680 5.9680 10.4664 90.00 90.00 90.00
Last column: nearest neighbours and their distance in Å.
Element x y z (fractional)
Mn 0.5000 0.5000 0.0000  6 Se 2.44-2.45
Mn 0.0000 0.0000 0.5000  6 Se 2.44-2.45
V 0.5000 0.5000 0.3454  6 Se 2.40-2.56
V 0.5000 0.5000 0.6546  6 Se 2.40-2.56
V 0.0000 0.0000 0.1546  6 Se 2.40-2.56
V 0.0000 0.0000 0.8454  6 Se 2.40-2.56
Se 0.6974 0.6974 0.1697  1 Mn 2.44, 2 V 2.48-2.56
Se 0.6974 0.6974 0.8303  1 Mn 2.44, 2 V 2.48-2.56
Se 0.7095 0.7095 0.5000  2 V 2.40, 1 Mn 2.45
Se 0.7905 0.2095 0.0000  2 V 2.40, 1 Mn 2.45
Se 0.8026 0.1974 0.3303  1 Mn 2.44, 2 V 2.48-2.56
Se 0.8026 0.1974 0.6697  1 Mn 2.44, 2 V 2.48-2.56
Se 0.1974 0.8026 0.3303  1 Mn 2.44, 2 V 2.48-2.56
Se 0.1974 0.8026 0.6697  1 Mn 2.44, 2 V 2.48-2.56
Se 0.2095 0.7905 0.0000  2 V 2.40, 1 Mn 2.45
Se 0.2905 0.2905 0.5000  2 V 2.40, 1 Mn 2.45
Se 0.3026 0.3026 0.1697  1 Mn 2.44, 2 V 2.48-2.56
Se 0.3026 0.3026 0.8303  1 Mn 2.44, 2 V 2.48-2.56

***

3.
Density functional theory data (PBE) for crystalline Mn2VSe3 at its relaxed geometry.

Calculated values
Total energy   -80.691 eV/cell
Magnetization   22.05 μB/cell
Uncorrected formation energy   -0.406 eV/atom

Lattice parameters (Å, degrees): 3.8412 7.0727 8.8130 101.76 90.00 105.76
Last column: nearest neighbours and their distance in Å.
Element x y z (fractional)
Mn 0.1695 0.3391 0.3345  6 Se 2.64-2.72, 1 Mn 2.88
Mn 0.8305 0.6609 0.6655  6 Se 2.64-2.72, 1 Mn 2.88
Mn 0.3277 0.6553 0.1632  6 Se 2.62-2.72, 1 Mn 2.88
Mn 0.6723 0.3447 0.8368  6 Se 2.62-2.72, 1 Mn 2.88
V 0.5000 0.0000 0.0000  6 Se 2.62-2.64
V 0.0000 0.0000 0.5000  6 Se 2.63-2.66
Se 0.9720 0.9440 0.1925  3 V 2.64-2.66, 3 Mn 2.72
Se 0.0280 0.0560 0.8075  3 V 2.64-2.66, 3 Mn 2.72
Se 0.6900 0.3800 0.1387  1 V 2.62, 5 Mn 2.62-2.66
Se 0.3100 0.6200 0.8613  1 V 2.62, 5 Mn 2.62-2.66
Se 0.3649 0.7299 0.4704  2 V 2.63, 4 Mn 2.65-2.68
Se 0.6351 0.2701 0.5296  2 V 2.63, 4 Mn 2.65-2.68

***

4.
Density functional theory data (PBE) for crystalline MnV2Se4 at its relaxed geometry.

Calculated values
Total energy   -85.556 eV/cell
Magnetization   17.99 μB/cell
Uncorrected formation energy   -0.205 eV/atom

Lattice parameters (Å, degrees): 6.6826 6.6826 8.2738 113.82 113.82 90.00
Last column: nearest neighbours and their distance in Å.
Element x y z (fractional)
Mn 0.7500 0.2500 0.5000  4 Se 2.54
Mn 0.0000 0.0000 0.0000  4 Se 2.54
V 0.3750 0.1250 0.7500  4 Se 2.48-2.52
V 0.3750 0.6250 0.7500  4 Se 2.48-2.52
V 0.3750 0.6250 0.2500  4 Se 2.48-2.52
V 0.8750 0.6250 0.2500  4 Se 2.48-2.52
Se 0.3899 0.0287 0.4275  2 V 2.48-2.52, 1 Mn 2.54
Se 0.7123 0.8511 0.0725  2 V 2.48-2.52, 1 Mn 2.54
Se 0.6011 0.6101 0.5725  2 V 2.48-2.52, 1 Mn 2.54
Se 0.7787 0.2877 0.9275  2 V 2.48-2.52, 1 Mn 2.54
Se 0.9713 0.9623 0.5725  2 V 2.48-2.52, 1 Mn 2.54
Se 0.1489 0.6399 0.9275  2 V 2.48-2.52, 1 Mn 2.54
Se 0.0377 0.3989 0.4275  2 V 2.48-2.52, 1 Mn 2.54
Se 0.3601 0.2213 0.0725  2 V 2.48-2.52, 1 Mn 2.54